PmSc4Ga4 after structural relaxation, computed with PBE.

**Energy of formation from the pure elements**: -0.34 eV per atom
**Space group**: P4_2/n
**Size of the total moment**: 0.000 μB/f.u.

a b c (Å): 8.702 8.702 5.285
angles (deg): 90.00 90.00 90.00
Positions (direct):
Pm  0.250  0.250  0.250
Pm  0.750  0.750  0.750
Sc  0.102  0.835  0.632
Sc  0.165  0.602  0.132
Sc  0.335  0.898  0.132
Sc  0.398  0.665  0.632
Sc  0.602  0.335  0.368
Sc  0.665  0.102  0.868
Sc  0.835  0.398  0.868
Sc  0.898  0.165  0.368
Ga  0.015  0.128  0.857
Ga  0.128  0.485  0.643
Ga  0.372  0.015  0.643
Ga  0.485  0.372  0.857
Ga  0.515  0.628  0.143
Ga  0.628  0.985  0.357
Ga  0.872  0.515  0.357
Ga  0.985  0.872  0.143



Nb2InFeH after structural relaxation, computed with PBE.

**Space group**: P4/mmm
**Size of the total moment**: 2.132 μB/f.u.
**Relative energy among the computed polymorphs**: 0.00 eV per formula unit

a b c (Å): 4.139 4.139 4.153
angles (deg): 90.00 90.00 90.00
Positions (direct):
Nb  0.000  0.500  0.000
Nb  0.500  0.000  0.000
In  0.000  0.000  0.500
Fe  0.500  0.500  0.500
H  0.500  0.500  0.000



SmDy4Sb2 after structural relaxation, computed with PBE.

**Space group**: I4/mmm
**Size of the total moment**: 0.000 μB/f.u.
**Raw formation energy**: 255.9 meV per atom

a b c (Å): 9.050 9.050 9.050
angles (deg): 146.06 146.06 48.76
Positions (direct):
Sm  0.000  0.000  0.000
Dy  0.000  0.500  0.500
Dy  0.184  0.184  0.000
Dy  0.500  0.000  0.500
Dy  0.816  0.816  0.000
Sb  0.367  0.367  0.000
Sb  0.633  0.633  0.000



TlAsSe2Br after structural relaxation, computed with PBE.

**Space group**: P4/mmm
**Size of the total moment**: 1.980 μB/f.u.
**Raw formation energy**: 684.5 meV per atom
**Relative energy among the computed polymorphs**: 3.75 eV per formula unit

a b c (Å): 5.420 5.420 5.227
angles (deg): 90.00 90.00 90.00
Positions (direct):
Tl  0.000  0.000  0.000
As  0.500  0.500  0.000
Se  0.000  0.500  0.500
Se  0.500  0.000  0.500
Br  0.500  0.500  0.500



TiGaFe6 after structural relaxation, computed with PBE.

**Energy of formation from the pure elements**: -0.14 eV per atom
**Space group**: Cmmm
**Size of the total moment**: 11.605 μB/f.u.

a b c (Å): 5.024 5.024 4.022
angles (deg): 90.00 90.00 106.52
Positions (direct):
Ti  0.000  0.000  0.000
Ga  0.500  0.500  0.000
Fe  0.000  0.500  0.000
Fe  0.246  0.246  0.500
Fe  0.255  0.745  0.500
Fe  0.500  0.000  0.000
Fe  0.745  0.255  0.500
Fe  0.754  0.754  0.500



Tb7Nd3Dy after structural relaxation, computed with PBE.

**Energy of formation from the pure elements**: 0.26 eV per atom
**Space group**: Immm
**Size of the total moment**: 0.263 μB/f.u.
**Relative energy among the computed polymorphs**: 0.96 eV per formula unit

a b c (Å): 8.475 8.475 8.475
angles (deg): 139.39 97.20 96.63
Positions (direct):
Tb  0.000  0.000  0.000
Tb  0.097  0.801  0.296
Tb  0.294  0.500  0.794
Tb  0.495  0.199  0.296
Tb  0.505  0.801  0.704
Tb  0.706  0.500  0.206
Tb  0.903  0.199  0.704
Nd  0.288  0.288  0.000
Nd  0.500  0.000  0.500
Nd  0.712  0.712  0.000
Dy  0.000  0.500  0.500



MgSi2Tc after structural relaxation, computed with PBE.

**Space group**: Amm2
**Size of the total moment**: 0.000 μB/f.u.
**Raw formation energy**: -99.0 meV per atom

a b c (Å): 4.041 5.003 5.003
angles (deg): 35.54 90.00 90.00
Positions (direct):
Mg  0.000  0.000  0.000
Si  0.000  0.740  0.740
Si  0.500  0.598  0.598
Tc  0.500  0.311  0.311



Cd2SiPbO4 after structural relaxation, computed with PBE.

**Space group**: I-42m
**Size of the total moment**: 0.000 μB/f.u.
**Raw formation energy**: -1424.1 meV per atom

a b c (Å): 6.039 6.039 6.039
angles (deg): 128.07 128.07 76.52
Positions (direct):
Cd  0.250  0.750  0.500
Cd  0.750  0.250  0.500
Si  0.000  0.000  0.000
Pb  0.500  0.500  0.000
O  0.078  0.716  0.000
O  0.284  0.284  0.361
O  0.716  0.078  0.000
O  0.922  0.922  0.639



ZrB3W after structural relaxation, computed with PBE.

**Energy of formation from the pure elements**: 0.59 eV per atom
**Space group**: Pm-3m
**Size of the total moment**: 0.000 μB/f.u.
**Relative energy among the computed polymorphs**: 0.00 eV per formula unit

a b c (Å): 4.100 4.100 4.100
angles (deg): 90.00 90.00 90.00
Positions (direct):
Zr  0.000  0.000  0.000
B  0.000  0.500  0.500
B  0.500  0.000  0.500
B  0.500  0.500  0.000
W  0.500  0.500  0.500



Ac3Sc5Te12 after structural relaxation, computed with PBE.

**Space group**: Ia-3d
**Size of the total moment**: 0.000 μB/f.u.
**Raw formation energy**: -1262.0 meV per atom

a b c (Å): 15.651 15.651 15.651
angles (deg): 109.47 109.47 109.47
Positions (direct):
Ac  0.125  0.250  0.375
Ac  0.125  0.375  0.750
Ac  0.250  0.375  0.125
Ac  0.250  0.875  0.625
Ac  0.375  0.125  0.250
Ac  0.375  0.750  0.125
Ac  0.625  0.250  0.875
Ac  0.625  0.875  0.750
Ac  0.750  0.125  0.375
Ac  0.750  0.625  0.875
Ac  0.875  0.625  0.250
Ac  0.875  0.750  0.625
Sc  0.000  0.000  0.000
Sc  0.000  0.000  0.500
Sc  0.000  0.500  0.000
Sc  0.000  0.500  0.500
Sc  0.125  0.750  0.875
Sc  0.125  0.875  0.250
Sc  0.250  0.125  0.875
Sc  0.250  0.625  0.375
Sc  0.375  0.250  0.625
Sc  0.375  0.625  0.750
Sc  0.500  0.000  0.000
Sc  0.500  0.000  0.500
Sc  0.500  0.500  0.000
Sc  0.500  0.500  0.500
Sc  0.625  0.375  0.250
Sc  0.625  0.750  0.375
Sc  0.750  0.375  0.625
Sc  0.750  0.875  0.125
Sc  0.875  0.125  0.750
Sc  0.875  0.250  0.125
Te  0.033  0.210  0.121
Te  0.033  0.323  0.913
Te  0.087  0.621  0.411
Te  0.087  0.967  0.677
Te  0.089  0.710  0.677
Te  0.089  0.879  0.413
Te  0.121  0.033  0.210
Te  0.121  0.587  0.911
Te  0.177  0.210  0.589
Te  0.177  0.467  0.587
Te  0.210  0.121  0.033
Te  0.210  0.589  0.177
Te  0.290  0.323  0.911
Te  0.290  0.467  0.379
Te  0.323  0.911  0.290
Te  0.323  0.913  0.033
Te  0.379  0.290  0.467
Te  0.379  0.589  0.913
Te  0.411  0.087  0.621
Te  0.411  0.823  0.790
Te  0.413  0.089  0.879
Te  0.413  0.823  0.533
Te  0.467  0.379  0.290
Te  0.467  0.587  0.177
Te  0.533  0.413  0.823
Te  0.533  0.621  0.710
Te  0.587  0.177  0.467
Te  0.587  0.911  0.121
Te  0.589  0.177  0.210
Te  0.589  0.913  0.379
Te  0.621  0.411  0.087
Te  0.621  0.710  0.533
Te  0.677  0.087  0.967
Te  0.677  0.089  0.710
Te  0.710  0.533  0.621
Te  0.710  0.677  0.089
Te  0.790  0.411  0.823
Te  0.790  0.879  0.967
Te  0.823  0.533  0.413
Te  0.823  0.790  0.411
Te  0.879  0.413  0.089
Te  0.879  0.967  0.790
Te  0.911  0.121  0.587
Te  0.911  0.290  0.323
Te  0.913  0.033  0.323
Te  0.913  0.379  0.589
Te  0.967  0.677  0.087
Te  0.967  0.790  0.879



Li2ScTa after structural relaxation, computed with PBE.

**Energy of formation from the pure elements**: 0.58 eV per atom
**Space group**: Fm-3m
**Size of the total moment**: 0.000 μB/f.u.
**Relative energy among the computed polymorphs**: 1.60 eV per formula unit

a b c (Å): 4.615 4.615 4.615
angles (deg): 60.00 60.00 60.00
Positions (direct):
Li  0.250  0.250  0.250
Li  0.750  0.750  0.750
Sc  0.000  0.000  0.000
Ta  0.500  0.500  0.500



CuP2O2 after structural relaxation, computed with PBE.

**Space group**: P4/mmm
**Size of the total moment**: 0.000 μB/f.u.
**Raw formation energy**: -443.2 meV per atom
**Relative energy among the computed polymorphs**: 0.48 eV per formula unit

a b c (Å): 3.354 3.354 5.018
angles (deg): 90.00 90.00 90.00
Positions (direct):
Cu  0.000  0.000  0.000
P  0.500  0.500  0.000
P  0.500  0.500  0.500
O  0.000  0.500  0.500
O  0.500  0.000  0.500